Record 1
Entry from the Alexandria database: a geometry-optimized CeSm2Fe2 structure (PBE).

The structure belongs to space group C2/c (No. 15); the cell edges are 10.1684, 6.3422 and 6.9254 Å and the angles 90.00°, 94.72° and 90.00°. Symmetry generates all atoms from Ce at (0.0000, 0.0891, 0.2500), Sm at (0.1504, 0.3834, 0.6469) and Fe at (0.1510, 0.1773, 0.0328).

The energy comes out at -128.97 eV/cell. Its density of states at the Fermi level is 22.48 states/eV per cell. For the density, the calculation gives 8245 kg/m³.



Record 2
Entry from the Alexandria database: a geometry-optimized SrAs2IrSe structure (PBE).

The structure belongs to space group P4/mmm (No. 123); the cell edges are 5.5471, 5.5471 and 5.4808 Å and the angles 90.00°, 90.00° and 90.00°. Symmetry generates all atoms from Sr at (0.0000, 0.0000, 0.0000), As at (0.0000, 0.5000, 0.0000), Ir at (0.5000, 0.5000, 0.5000) and Se at (0.0000, 0.0000, 0.5000).

Its energy above the most stable polymorph in this dataset is 2033.1 meV/atom. Its uncorrected formation energy is 1.73 eV per atom. Its density of states at the Fermi level is 7.26 states/eV per cell. For the density, the calculation gives 5008 kg/m³.



Record 3
Entry from the Alexandria database: a geometry-optimized CoTcNi3 structure (PBE).

The structure belongs to space group P2_1/c (No. 14); the cell edges are 6.2455, 8.6658 and 4.6122 Å and the angles 90.00°, 108.95° and 90.00°. Symmetry generates all atoms from Co at (0.1419, 0.0815, 0.1585), Tc at (0.2614, 0.6740, 0.6110), Ni at (0.0320, 0.1300, 0.6068), Ni at (0.3821, 0.2414, 0.9902) and Ni at (0.3944, 0.5224, 0.1894).

Its energy above the most stable polymorph in this dataset is 0.0 meV/atom. Its density of states at the Fermi level is 28.41 states/eV per cell. For the density, the calculation gives 9369 kg/m³.



Record 4
Entry from the Alexandria database: a geometry-optimized Sr2ReSiAs structure (PBE).

The structure belongs to space group P4/mmm (No. 123); the cell edges are 5.8833, 5.8833 and 4.6737 Å and the angles 90.00°, 90.00° and 90.00°. Symmetry generates all atoms from Sr at (0.0000, 0.5000, 0.0000), Re at (0.0000, 0.0000, 0.0000), Si at (0.5000, 0.5000, 0.5000) and As at (0.0000, 0.0000, 0.5000).

Its uncorrected formation energy is 0.54 eV per atom. Its density of states at the Fermi level is 3.15 states/eV per cell. For the density, the calculation gives 4767 kg/m³.



Record 5
Entry from the Alexandria database: a geometry-optimized Y5Tl2Au structure (PBE).

The structure belongs to space group Pbam (No. 55); the cell edges are 7.1414, 12.8587 and 4.9058 Å and the angles 90.00°, 90.00° and 90.00°. Symmetry generates all atoms from Y at (0.0000, 0.0000, 0.0000), Y at (0.1286, 0.2806, 0.0000), Y at (0.1771, 0.5899, 0.5000), Tl at (0.1097, 0.8420, 0.5000) and Au at (0.0000, 0.5000, 0.0000).

The energy comes out at -87.65 eV/cell. Its density of states at the Fermi level is 17.88 states/eV per cell. For the density, the calculation gives 7743 kg/m³.



Record 6
Entry from the Alexandria database: a geometry-optimized CaNi6Ge2 structure (PBE).

The structure belongs to space group P4/mmm (No. 123); the cell edges are 3.9898, 3.9898 and 7.9668 Å and the angles 90.00°, 90.00° and 90.00°. Symmetry generates all atoms from Ca at (0.0000, 0.0000, 0.0000), Ni at (0.0000, 0.0000, 0.5000), Ni at (0.0000, 0.5000, 0.3198), Ni at (0.5000, 0.5000, 0.5000) and Ge at (0.5000, 0.5000, 0.1670).

Its energy above the most stable polymorph in this dataset is 0.0 meV/atom. Its density of states at the Fermi level is 11.77 states/eV per cell. For the density, the calculation gives 7038 kg/m³.



Record 7
Entry from the Alexandria database: a geometry-optimized Nd2SbPN5 structure (PBE).

The structure belongs to space group Cmc2_1 (No. 36); the cell edges are 3.3478, 14.3875 and 10.3438 Å and the angles 90.00°, 90.00° and 90.00°. Symmetry generates all atoms from Nd at (0.0000, 0.1099, 0.0000), Nd at (0.0000, 0.1278, 0.6531), Sb at (0.0000, 0.2049, 0.3607), P at (0.0000, 0.4492, 0.7509), N at (0.0000, 0.0297, 0.3253), N at (0.0000, 0.2913, 0.9986), N at (0.0000, 0.3329, 0.7199), N at (0.0000, 0.3448, 0.3297) and N at (0.0000, 0.4989, 0.1104).

Its uncorrected formation energy is -0.51 eV per atom. Its density of states at the Fermi level is 7.71 states/eV per cell. For the density, the calculation gives 6816 kg/m³.



Record 8
Entry from the Alexandria database: a geometry-optimized Sr3Zn9Cu2 structure (PBE).

The structure belongs to space group Immm (No. 71); the cell edges are 4.4337, 9.7278 and 13.1230 Å and the angles 90.00°, 90.00° and 90.00°. Symmetry generates all atoms from Sr at (0.0000, 0.0000, 0.0000), Sr at (0.0000, 0.0000, 0.3058), Zn at (0.0000, 0.2858, 0.1164), Zn at (0.0000, 0.3458, 0.3310), Zn at (0.0000, 0.5000, 0.0000) and Cu at (0.0000, 0.2140, 0.5000).

The energy comes out at -54.43 eV/cell. Its density of states at the Fermi level is 11.96 states/eV per cell. For the density, the calculation gives 5742 kg/m³.



Record 9
Entry from the Alexandria database: a geometry-optimized NdYSb structure (PBE).

The structure belongs to space group Cmcm (No. 63); the cell edges are 3.4686, 18.0725 and 5.9440 Å and the angles 90.00°, 90.00° and 90.00°. Symmetry generates all atoms from Nd at (0.0000, 0.1693, 0.2500), Y at (0.0000, 0.5000, 0.0000) and Sb at (0.0000, 0.3456, 0.2500).

Its uncorrected formation energy is -0.46 eV per atom. Its density of states at the Fermi level is 10.77 states/eV per cell. For the density, the calculation gives 6327 kg/m³.



Record 10
Entry from the Alexandria database: a geometry-optimized Sc5Te structure (PBE).

The structure belongs to space group Cmmm (No. 65); the cell edges are 4.3838, 14.3147 and 4.4773 Å and the angles 90.00°, 90.00° and 90.00°. Symmetry generates all atoms from Sc at (0.0000, 0.0000, 0.0000), Sc at (0.0000, 0.1658, 0.5000), Sc at (0.0000, 0.3290, 0.0000) and Te at (0.0000, 0.5000, 0.5000).

Its energy above the most stable polymorph in this dataset is 60.4 meV/atom. Its uncorrected formation energy is -0.28 eV per atom. Its density of states at the Fermi level is 19.65 states/eV per cell. For the density, the calculation gives 4165 kg/m³.



Record 11
Entry from the Alexandria database: a geometry-optimized Mg3Sn12Au5 structure (PBE).

The structure belongs to space group Ia-3d (No. 230); the cell edges are 16.5261, 16.5261 and 16.5261 Å and the angles 90.00°, 90.00° and 90.00°. Symmetry generates all atoms from Mg at (0.0000, 0.2500, 0.1250), Sn at (0.0256, 0.0787, 0.6478), Au at (0.0000, 0.0000, 0.0000) and Au at (0.0000, 0.2500, 0.3750).

The energy comes out at -554.24 eV/cell. Its density of states at the Fermi level is 85.36 states/eV per cell. For the density, the calculation gives 7306 kg/m³.



Record 12
Entry from the Alexandria database: a geometry-optimized Ba2In2Ag structure (PBE).

The structure belongs to space group P4/mbm (No. 127); the cell edges are 7.9924, 7.9924 and 5.4772 Å and the angles 90.00°, 90.00° and 90.00°. Symmetry generates all atoms from Ba at (0.1665, 0.3335, 0.0000), In at (0.1380, 0.6380, 0.5000) and Ag at (0.0000, 0.0000, 0.5000).

Its energy above the most stable polymorph in this dataset is 130.7 meV/atom. Its density of states at the Fermi level is 15.05 states/eV per cell. For the density, the calculation gives 5811 kg/m³.



Record 13
Entry from the Alexandria database: a geometry-optimized Cs3CdTc structure (PBE).

The structure belongs to space group Pm-3m (No. 221); the cell edges are 6.1206, 6.1206 and 6.1206 Å and the angles 90.00°, 90.00° and 90.00°. Symmetry generates all atoms from Cs at (0.0000, 0.0000, 0.5000), Cd at (0.5000, 0.5000, 0.5000) and Tc at (0.0000, 0.0000, 0.0000).

Its energy above the most stable polymorph in this dataset is 0.0 meV/atom. Its density of states at the Fermi level is 5.90 states/eV per cell. For the density, the calculation gives 4411 kg/m³.



Record 14
Entry from the Alexandria database: a geometry-optimized RbTaSiS6 structure (PBE).

The structure belongs to space group P1 (No. 1); the cell edges are 6.2960, 6.4869 and 7.4315 Å and the angles 102.11°, 93.50° and 117.33°. Symmetry generates all atoms from Rb at (0.0000, 0.0000, 0.0000), Ta at (0.3454, 0.6290, 0.5458), Si at (0.7655, 0.3080, 0.5069), S at (0.0440, 0.2826, 0.6531), S at (0.4447, 0.9231, 0.8010), S at (0.4523, 0.9439, 0.3477), S at (0.6023, 0.4775, 0.6777), S at (0.6099, 0.7210, 0.3115) and S at (0.9575, 0.4869, 0.3142).

Its uncorrected formation energy is -0.80 eV per atom. Its density of states at the Fermi level is 0.00 states/eV per cell. For the density, the calculation gives 3118 kg/m³.



Record 15
Entry from the Alexandria database: a geometry-optimized GeH2Se structure (PBE).

The structure belongs to space group P2_1/m (No. 11); the cell edges are 2.8427, 8.3046 and 5.9703 Å and the angles 90.00°, 103.38° and 90.00°. Symmetry generates all atoms from Ge at (0.1558, 0.2500, 0.3177), H at (0.0915, 0.0880, 0.1912) and Se at (0.3498, 0.2500, 0.7186).

Its energy above the most stable polymorph in this dataset is 334.5 meV/atom. Its density of states at the Fermi level is 3.65 states/eV per cell. For the density, the calculation gives 3721 kg/m³.



Record 16
Entry from the Alexandria database: a geometry-optimized Be2RuPt structure (PBE).

The structure belongs to space group Fm-3m (No. 225); the cell edges are 5.6251, 5.6251 and 5.6251 Å and the angles 90.00°, 90.00° and 90.00°. Symmetry generates all atoms from Be at (0.2500, 0.2500, 0.2500), Ru at (0.0000, 0.0000, 0.0000) and Pt at (0.0000, 0.0000, 0.5000).

Its energy above the most stable polymorph in this dataset is 0.0 meV/atom. Its density of states at the Fermi level is 10.60 states/eV per cell. For the density, the calculation gives 11725 kg/m³.



Record 17
Entry from the Alexandria database: a geometry-optimized LaTb2ScTl4 structure (PBE).

The structure belongs to space group R-3m (No. 166, hexagonal axes); the cell edges are 5.3739, 5.3739 and 26.6667 Å and the angles 90.00°, 90.00° and 120.00°. Symmetry generates all atoms from La at (0.0000, 0.0000, 0.0000), Tb at (0.0000, 0.0000, 0.2478), Sc at (0.0000, 0.0000, 0.5000), Tl at (0.0000, 0.0000, 0.1283) and Tl at (0.0000, 0.0000, 0.3794).

The energy comes out at -97.72 eV/cell. Its density of states at the Fermi level is 21.95 states/eV per cell. For the density, the calculation gives 9854 kg/m³.



Record 18
Entry from the Alexandria database: a geometry-optimized Li3CeTl2 structure (PBE).

The structure belongs to space group C2/m (No. 12); the cell edges are 14.1923, 4.7193 and 9.3263 Å and the angles 90.00°, 120.65° and 90.00°. Symmetry generates all atoms from Li at (0.0566, 0.0000, 0.4103), Li at (0.0918, 0.5000, 0.6948), Li at (0.2458, 0.5000, 0.5875), Ce at (0.1005, 0.0000, 0.0024), Tl at (0.0767, 0.5000, 0.2377) and Tl at (0.2111, 0.0000, 0.7692).

The energy comes out at -70.52 eV/cell. Its density of states at the Fermi level is 26.37 states/eV per cell. For the density, the calculation gives 7042 kg/m³.



Record 19
Entry from the Alexandria database: a geometry-optimized WC2 structure (PBE).

The structure belongs to space group Cmcm (No. 63); the cell edges are 5.0113, 6.3927 and 4.3199 Å and the angles 90.00°, 90.00° and 90.00°. Symmetry generates all atoms from W at (0.0000, 0.1427, 0.2500) and C at (0.1403, 0.1897, 0.7500).

Its energy above the most stable polymorph in this dataset is 443.3 meV/atom. Its density of states at the Fermi level is 4.69 states/eV per cell. For the density, the calculation gives 9976 kg/m³.



Record 20
Entry from the Alexandria database: a geometry-optimized PrLuZnNi structure (PBE).

The structure belongs to space group F-43m (No. 216); the cell edges are 7.0299, 7.0299 and 7.0299 Å and the angles 90.00°, 90.00° and 90.00°. Symmetry generates all atoms from Pr at (0.0000, 0.0000, 0.0000), Lu at (0.0000, 0.0000, 0.5000), Zn at (0.2500, 0.2500, 0.2500) and Ni at (0.2500, 0.2500, 0.7500).

The energy comes out at -69.95 eV/cell. Its density of states at the Fermi level is 14.62 states/eV per cell. For the density, the calculation gives 8412 kg/m³.